(1)
Density functional theory data (GGA-PBE) for crystalline Al3Zn7 at its relaxed geometry.

a b c (Å): 7.444 7.444 5.659
angles (deg): 101.81 101.81 30.74
Sites, in units of the cell vectors:
Al (0.000, 0.000, 0.000)
Al (0.199, 0.199, 0.601)
Al (0.801, 0.801, 0.399)
Zn (0.000, 0.000, 0.500)
Zn (0.200, 0.200, 0.100)
Zn (0.400, 0.400, 0.198)
Zn (0.400, 0.400, 0.700)
Zn (0.600, 0.600, 0.300)
Zn (0.600, 0.600, 0.802)
Zn (0.800, 0.800, 0.900)

Output
SG = C2/m, No. 12
D(E_F) = 2.301 states/eV per cell
ΔE_f = 32 meV per atom

(2)
Density functional theory data (GGA-PBE) for crystalline NaLiGa3 at its relaxed geometry.

a b c (Å): 8.476 6.653 7.708
angles (deg): 90.00 110.75 90.00
Sites, in units of the cell vectors:
Na (0.050, 0.227, 0.488)
Na (0.050, 0.273, 0.988)
Na (0.950, 0.727, 0.012)
Na (0.950, 0.773, 0.512)
Li (0.310, 0.530, 0.763)
Li (0.310, 0.970, 0.263)
Li (0.690, 0.030, 0.737)
Li (0.690, 0.470, 0.237)
Ga (0.227, 0.593, 0.385)
Ga (0.227, 0.907, 0.885)
Ga (0.354, 0.597, 0.124)
Ga (0.354, 0.903, 0.624)
Ga (0.429, 0.217, 0.027)
Ga (0.429, 0.283, 0.527)
Ga (0.571, 0.717, 0.473)
Ga (0.571, 0.783, 0.973)
Ga (0.646, 0.097, 0.376)
Ga (0.646, 0.403, 0.876)
Ga (0.773, 0.093, 0.115)
Ga (0.773, 0.407, 0.615)

Output
Energy relative to the lowest polymorph listed for this composition = 0.28 eV/f.u.
SG = P2_1/c, No. 14
D(E_F) = 7.293 states/eV per cell
ΔE_f = -149 meV per atom